No. 1
BaYOs | the Alexandria database | PBE-GGA | relaxed; calculated volume = 27.85 Å³/atom; energy of formation from the pure elements = 1434 meV/atom; offset from the most stable computed form = 1170.2 meV/atom; density of states at the Fermi level = 1.3297 states/eV/atom
1.0
0.000 3.470 3.470
3.470 0.000 3.470
3.470 3.470 0.000
Ba Y Os
1 1 1
Direct
0.000 0.000 0.000
0.750 0.750 0.750
0.250 0.250 0.250



No. 2
ZrNi2Os | the Alexandria database | PBE-GGA | relaxed; calculated volume = 14.54 Å³/atom; energy of formation from the pure elements = 240 meV/atom; density of states at the Fermi level = 1.3215 states/eV/atom
1.0
1.375 0.794 8.876
-1.375 0.794 8.876
0.000 -1.588 8.876
Zr Ni Os
1 2 1
Direct
0.000 0.000 0.000
0.244 0.244 0.244
0.756 0.756 0.756
0.500 0.500 0.500



No. 3
CuSiCl2 | the Alexandria database | PBE-GGA | relaxed; calculated volume = 19.91 Å³/atom; offset from the most stable computed form = 340.7 meV/atom; density of states at the Fermi level = 0.4424 states/eV/atom; energy relative to the elements, uncorrected = 24 meV/atom
1.0
3.135 0.000 0.000
0.000 3.135 0.000
0.000 0.000 8.105
Cu Si Cl
1 1 2
Direct
0.000 0.000 0.000
0.500 0.500 0.185
0.000 0.000 0.397
0.500 0.500 0.836



No. 4
Dy2YTe | the Alexandria database | PBE-GGA | relaxed; calculated volume = 33.79 Å³/atom; offset from the most stable computed form = 449.5 meV/atom; density of states at the Fermi level = 1.5824 states/eV/atom; energy relative to the elements, uncorrected = -212 meV/atom
1.0
1.906 1.101 10.740
-1.906 1.101 10.740
0.000 -2.201 10.740
Dy Y Te
2 1 1
Direct
0.102 0.102 0.102
0.898 0.898 0.898
0.000 0.000 0.000
0.500 0.500 0.500



No. 5
NaAc2Y | the Alexandria database | PBE-GGA | relaxed; calculated volume = 40.52 Å³/atom; energy of formation from the pure elements = 102 meV/atom; offset from the most stable computed form = 31.4 meV/atom; density of states at the Fermi level = 1.2219 states/eV/atom
1.0
3.801 0.000 0.000
0.000 3.801 0.000
0.000 0.000 11.218
Na Ac Y
1 2 1
Direct
0.000 0.000 0.000
0.500 0.500 0.264
0.500 0.500 0.736
0.000 0.000 0.500



No. 6
LuNiAu | the Alexandria database | PBE-GGA | relaxed; calculated volume = 18.01 Å³/atom; energy of formation from the pure elements = -545 meV/atom; density of states at the Fermi level = 0.8142 states/eV/atom
1.0
-1.749 1.749 4.417
1.749 -1.749 4.417
1.749 1.749 -4.417
Lu Ni Au
1 1 1
Direct
0.000 0.000 0.000
0.342 0.342 0.000
0.677 0.677 0.000



No. 7
CePrEr | the Alexandria database | PBE-GGA | relaxed; calculated volume = 33.45 Å³/atom; energy of formation from the pure elements = 632 meV/atom; offset from the most stable computed form = 591.8 meV/atom; density of states at the Fermi level = 2.1687 states/eV/atom
1.0
7.377 0.000 0.000
0.000 7.377 0.000
0.000 0.000 7.377
Ce Pr Er
4 4 4
Direct
0.203 0.297 0.703
0.297 0.703 0.203
0.703 0.203 0.297
0.797 0.797 0.797
0.063 0.563 0.937
0.437 0.437 0.437
0.563 0.937 0.063
0.937 0.063 0.563
0.107 0.107 0.107
0.393 0.893 0.607
0.607 0.393 0.893
0.893 0.607 0.393



No. 8
Tl2O2F | the Alexandria database | PBE-GGA | relaxed; calculated volume = 16.29 Å³/atom; density of states at the Fermi level = 0.4134 states/eV/atom; energy relative to the elements, uncorrected = -750 meV/atom
1.0
-2.002 2.002 5.079
2.002 -2.002 5.079
2.002 2.002 -5.079
Tl O F
2 2 1
Direct
0.143 0.143 0.000
0.857 0.857 0.000
0.250 0.750 0.500
0.750 0.250 0.500
0.500 0.500 0.000



No. 9
NaSe3I | the Alexandria database | PBE-GGA | relaxed; calculated volume = 32.88 Å³/atom; offset from the most stable computed form = 0.0 meV/atom; density of states at the Fermi level = 0.5362 states/eV/atom; energy relative to the elements, uncorrected = 257 meV/atom
1.0
5.478 0.000 0.000
0.000 5.478 0.000
0.000 0.000 5.478
Na Se I
1 3 1
Direct
0.000 0.000 0.000
0.000 0.500 0.500
0.500 0.000 0.500
0.500 0.500 0.000
0.500 0.500 0.500



No. 10
CdIn6SnHg2 | the Alexandria database | PBE-GGA | relaxed; calculated volume = 27.59 Å³/atom; energy of formation from the pure elements = 47 meV/atom; density of states at the Fermi level = 0.3368 states/eV/atom
1.0
4.387 2.533 4.138
-4.387 2.533 4.138
0.000 -5.065 4.138
Cd In Sn Hg
1 6 1 2
Direct
0.000 0.000 0.000
0.132 0.827 0.458
0.329 0.637 0.967
0.458 0.132 0.827
0.637 0.967 0.329
0.827 0.458 0.132
0.967 0.329 0.637
0.501 0.501 0.501
0.252 0.252 0.252
0.758 0.758 0.758



No. 11
Mn3NbTc | the Alexandria database | PBE-GGA | relaxed; calculated volume = 16.49 Å³/atom; energy of formation from the pure elements = 1974 meV/atom; offset from the most stable computed form = 724.4 meV/atom; density of states at the Fermi level = 2.8107 states/eV/atom
1.0
4.352 0.000 0.000
0.000 4.352 0.000
0.000 0.000 4.352
Mn Nb Tc
3 1 1
Direct
0.000 0.000 0.500
0.000 0.500 0.000
0.500 0.000 0.000
0.000 0.000 0.000
0.500 0.500 0.500



No. 12
Sr2Ca3Au4 | the Alexandria database | PBE-GGA | relaxed; calculated volume = 28.48 Å³/atom; energy of formation from the pure elements = -770 meV/atom; density of states at the Fermi level = 0.5602 states/eV/atom
1.0
8.227 0.000 0.000
0.000 8.212 0.000
-2.694 0.000 7.588
Sr Ca Au
4 6 8
Direct
0.193 0.176 0.067
0.193 0.324 0.567
0.807 0.676 0.433
0.807 0.824 0.933
0.247 0.668 0.248
0.247 0.832 0.748
0.500 0.000 0.500
0.500 0.500 0.000
0.753 0.168 0.252
0.753 0.332 0.752
0.083 0.539 0.861
0.083 0.961 0.361
0.497 0.129 0.871
0.497 0.371 0.371
0.503 0.629 0.629
0.503 0.871 0.129
0.917 0.039 0.639
0.917 0.461 0.139



No. 13
Y5Er6Pu | the Alexandria database | PBE-GGA | relaxed; calculated volume = 30.90 Å³/atom; energy of formation from the pure elements = 51 meV/atom; density of states at the Fermi level = 2.1215 states/eV/atom
1.0
3.054 -5.291 0.000
3.054 5.291 0.000
-2.042 0.000 11.473
Y Er Pu
5 6 1
Direct
0.000 0.000 0.000
0.167 0.833 0.500
0.333 0.667 0.000
0.667 0.333 0.000
0.833 0.167 0.500
0.088 0.417 0.252
0.254 0.254 0.748
0.417 0.088 0.252
0.583 0.912 0.748
0.746 0.746 0.252
0.912 0.583 0.748
0.500 0.500 0.500



No. 14
TcPSO2 | the Alexandria database | PBE-GGA | relaxed; calculated volume = 12.56 Å³/atom; density of states at the Fermi level = 0.4144 states/eV/atom; energy relative to the elements, uncorrected = 417 meV/atom
1.0
3.618 0.000 0.000
0.000 3.618 0.000
0.000 0.000 4.797
Tc P S O
1 1 1 2
Direct
0.000 0.000 0.000
0.500 0.500 0.000
0.500 0.500 0.500
0.000 0.500 0.500
0.500 0.000 0.500



No. 15
Fe2SiBr | the Alexandria database | PBE-GGA | relaxed; calculated volume = 15.71 Å³/atom; offset from the most stable computed form = 547.0 meV/atom; density of states at the Fermi level = 0.9366 states/eV/atom; energy relative to the elements, uncorrected = 624 meV/atom
1.0
2.869 0.000 0.000
0.000 3.940 0.000
0.000 0.000 5.559
Fe Si Br
2 1 1
Direct
0.000 0.000 0.000
0.500 0.000 0.500
0.000 0.500 0.500
0.500 0.500 0.000



No. 16
FeCuOs | the Alexandria database | PBE-GGA | relaxed; calculated volume = 13.98 Å³/atom; energy of formation from the pure elements = 599 meV/atom; offset from the most stable computed form = 383.2 meV/atom; density of states at the Fermi level = 0.7909 states/eV/atom
1.0
0.000 2.757 2.757
2.757 0.000 2.757
2.757 2.757 0.000
Fe Cu Os
1 1 1
Direct
0.000 0.000 0.000
0.750 0.750 0.750
0.250 0.250 0.250



No. 17
SrYRe2 | the Alexandria database | PBE-GGA | relaxed; calculated volume = 25.61 Å³/atom; energy of formation from the pure elements = 719 meV/atom; offset from the most stable computed form = 478.8 meV/atom; density of states at the Fermi level = 1.0110 states/eV/atom
1.0
3.858 0.000 0.000
0.000 3.858 0.000
0.000 0.000 6.882
Sr Y Re
1 1 2
Direct
0.000 0.000 0.000
0.000 0.000 0.500
0.500 0.500 0.332
0.500 0.500 0.668